This record from Alexandria describes Th2PaSn after structural relaxation. The functional is PBE.

* energy above the most stable polymorph in this dataset: 0 meV per atom
* symmetry: P4/mmm
* magnetization: 0.000 μB/f.u.
* E_form: -0.20 eV/atom

Lattice parameters (Å, degrees): 4.698 4.905 4.905 90.00 90.00 90.00
Fractional positions:
Pa 0.500 0.500 0.500
Th 0.000 0.000 0.500
Th 0.000 0.500 0.000
Sn 0.500 0.000 0.000

This record from Alexandria describes KCo2Pb2 after structural relaxation. The functional is PBE.

* symmetry: I4/mmm
* magnetization: 2.455 μB/f.u.
* E_form: 0.43 eV/atom

Lattice parameters (Å, degrees): 5.966 5.966 5.966 131.28 131.28 71.38
Fractional positions:
Co 0.387 0.387 0.000
Co 0.613 0.613 0.000
Pb 0.750 0.250 0.500
Pb 0.250 0.750 0.500
K 0.000 0.000 0.000

This record from Alexandria describes ZnOsRu2 after structural relaxation. The functional is PBE.

* symmetry: R3m
* magnetization: 0.001 μB/f.u.
* E_form: 0.12 eV/atom

Lattice parameters (Å, degrees): 8.938 8.938 8.938 17.53 17.53 17.53
Fractional positions:
Ru 0.251 0.251 0.251
Ru 0.000 0.000 0.000
Os 0.748 0.748 0.748
Zn 0.501 0.501 0.501

This record from Alexandria describes Hg2Pd2Br after structural relaxation. The functional is PBE.

* energy above the most stable polymorph in this dataset: 98 meV per atom
* symmetry: P4/mbm
* formation energy from raw total energies: 0.051 eV/atom
* magnetization: 0.000 μB/f.u.

Lattice parameters (Å, degrees): 8.066 8.066 3.226 90.00 90.00 90.00
Fractional positions:
Pd 0.127 0.627 0.500
Pd 0.627 0.873 0.500
Pd 0.373 0.127 0.500
Pd 0.873 0.373 0.500
Hg 0.336 0.836 0.000
Hg 0.664 0.164 0.000
Hg 0.836 0.664 0.000
Hg 0.164 0.336 0.000
Br 0.000 0.000 0.000
Br 0.500 0.500 0.000

This record from Alexandria describes CaLa2YSe4 after structural relaxation. The functional is PBE.

* symmetry: P2/m
* formation energy from raw total energies: -1.927 eV/atom
* magnetization: 0.001 μB/f.u.

Lattice parameters (Å, degrees): 4.199 7.302 7.370 109.05 90.00 90.00
Fractional positions:
Se 0.500 0.243 0.233
Se 0.000 0.747 0.235
Se 0.500 0.757 0.767
Se 0.000 0.253 0.765
Ca 0.500 0.500 0.000
Y 0.000 0.000 0.000
La 0.500 0.000 0.500
La 0.000 0.500 0.500

This record from Alexandria describes SrAgSb2 after structural relaxation. The functional is PBE.

* symmetry: Imm2
* formation energy from raw total energies: -0.315 eV/atom
* magnetization: 0.000 μB/f.u.

Lattice parameters (Å, degrees): 6.246 6.246 6.246 141.32 131.72 63.50
Fractional positions:
Sr 0.496 0.496 0.000
Sb 0.000 0.000 0.000
Sb 0.223 0.723 0.500
Ag 0.781 0.281 0.500

This record from Alexandria describes SrBN2F after structural relaxation. The functional is PBE.

* energy above the most stable polymorph in this dataset: 2131 meV per atom
* symmetry: P4/mmm
* formation energy from raw total energies: 1.474 eV/atom
* magnetization: 4.000 μB/f.u.

Lattice parameters (Å, degrees): 5.110 5.110 4.585 90.00 90.00 90.00
Fractional positions:
Sr 0.000 0.000 0.000
N 0.500 0.000 0.000
N 0.000 0.500 0.000
F 0.000 0.000 0.500
B 0.500 0.500 0.500

This record from Alexandria describes ZrAg2Sb after structural relaxation. The functional is PBE.

* symmetry: C2/m
* formation energy from raw total energies: -0.084 eV/atom
* magnetization: 0.000 μB/f.u.

Lattice parameters (Å, degrees): 6.178 6.178 3.048 76.46 76.46 123.37
Fractional positions:
Zr 0.000 0.500 0.500
Ag 0.000 0.000 0.000
Ag 0.500 0.500 0.000
Sb 0.500 0.000 0.500

This record from Alexandria describes InTc2 after structural relaxation. The functional is PBE.

* symmetry: P6_3/mmc
* magnetization: 0.000 μB/f.u.
* E_form: 0.28 eV/atom

Lattice parameters (Å, degrees): 5.202 5.202 8.762 90.00 90.00 120.00
Fractional positions:
Tc 0.000 0.000 0.000
Tc 0.000 0.000 0.500
Tc 0.348 0.174 0.250
Tc 0.174 0.826 0.750
Tc 0.174 0.348 0.750
Tc 0.652 0.826 0.750
Tc 0.826 0.174 0.250
Tc 0.826 0.652 0.250
In 0.667 0.333 0.934
In 0.333 0.667 0.434
In 0.667 0.333 0.566
In 0.333 0.667 0.066

This record from Alexandria describes MgBe2GeW after structural relaxation. The functional is PBE.

* symmetry: P4/mmm
* magnetization: 0.000 μB/f.u.
* E_form: 0.83 eV/atom

Lattice parameters (Å, degrees): 4.454 4.779 4.454 90.00 90.00 90.00
Fractional positions:
Be 0.500 0.000 0.000
Be 0.000 0.000 0.500
Ge 0.000 0.500 0.000
Mg 0.500 0.500 0.500
W 0.000 0.000 0.000

This record from Alexandria describes ReSbRu2 after structural relaxation. The functional is PBE.

* symmetry: C2/m
* formation energy from raw total energies: 0.304 eV/atom
* magnetization: 0.000 μB/f.u.

Lattice parameters (Å, degrees): 4.758 4.758 4.851 81.58 81.58 35.70
Fractional positions:
Sb 0.750 0.750 0.750
Ru 0.993 0.993 0.020
Ru 0.507 0.507 0.480
Re 0.250 0.250 0.250

This record from Alexandria describes ThZrTiAl after structural relaxation. The functional is PBE.

* symmetry: F-43m
* magnetization: 1.085 μB/f.u.
* E_form: -0.01 eV/atom

Lattice parameters (Å, degrees): 5.029 5.029 5.029 60.00 60.00 60.00
Fractional positions:
Al 0.750 0.750 0.750
Ti 0.250 0.250 0.250
Th 0.500 0.500 0.500
Zr 0.000 0.000 0.000